NaScP2: relaxed, GGA-PBE.

The crystal system is cubic. The calculation puts the density of states at the Fermi level at 4.04 states/eV/f.u. Its symmetry is Fm-3m, No. 225. Its total DFT energy (no corrections) is -5.03 eV/atom. The value obtained for the total magnetic moment is 0.0 μB/f.u. Its energy above the lowest structure with this stoichiometry is 0.000 eV per atom. The calculation puts the formation enthalpy at 0 K at -0.408 eV/atom.

Cell: 4.677 4.677 4.677 Å, 60.00 60.00 60.00°
Sites, in units of the cell vectors:
Sc: 0.500 0.500 0.500
P: 0.750 0.750 0.750
P: 0.250 0.250 0.250
Na: 0.000 0.000 0.000

***

NaScP: relaxed, GGA-PBE.

The crystal system is trigonal. The calculation puts the density of states at the Fermi level at 0.83 states/eV/f.u. Its symmetry is R-3m, No. 166. Its total DFT energy (no corrections) is -5.09 eV/atom. The value obtained for the total magnetic moment is 0.0 μB/f.u. The calculation puts the formation enthalpy at 0 K at -0.735 eV/atom.

Cell: 4.277 4.277 10.638 Å, 78.40 78.40 60.00°
Sites, in units of the cell vectors:
Sc: 0.300 0.300 0.101
P: 0.389 0.389 0.833
Na: 0.884 0.884 0.347
Na: 0.116 0.116 0.653
P: 0.611 0.611 0.167
Sc: 0.700 0.700 0.899

***

NaSc2P: relaxed, GGA-PBE.

The crystal system is tetragonal. The calculation puts the density of states at the Fermi level at 2.01 states/eV/f.u. Its symmetry is I-42d, No. 122. Its total DFT energy (no corrections) is -5.03 eV/atom. The value obtained for the total magnetic moment is 0.0 μB/f.u. The calculation puts the formation enthalpy at 0 K at -0.181 eV/atom.

Cell: 7.924 7.924 6.412 Å, 51.84 51.84 90.00°
Sites, in units of the cell vectors:
Sc: 0.054 0.625 0.250
Sc: 0.696 0.125 0.250
Sc: 0.875 0.946 0.750
P: 0.000 0.000 0.000
Sc: 0.375 0.304 0.750
Na: 0.500 0.500 0.000
P: 0.750 0.250 0.500
Na: 0.250 0.750 0.500

***

Na3ScP: relaxed, GGA-PBE.

The crystal system is cubic. The calculation puts the density of states at the Fermi level at 6.97 states/eV/f.u. Its symmetry is Pm-3m, No. 221. Its total DFT energy (no corrections) is -1.90 eV/atom. The value obtained for the total magnetic moment is 1.0 μB/f.u. Its energy above the lowest structure with this stoichiometry is 0.857 eV per atom. The calculation puts the formation enthalpy at 0 K at 1.235 eV/atom.

Cell: 5.847 5.847 5.847 Å, 90.00 90.00 90.00°
Sites, in units of the cell vectors:
P: 0.500 0.500 0.500
Na: 0.000 0.500 0.000
Na: 0.000 0.000 0.500
Sc: 0.000 0.000 0.000
Na: 0.500 0.000 0.000

***

> What is the total magnetic moment in the third record?

0.0 μB/f.u.